Entry 1:
# Zr2AlBr PBE optimized geometry
data_Zr2AlBr
_chemical_formula_sum 'Zr2 Al1 Br1'
_symmetry_space_group_name_H-M 'P 1'
_symmetry_Int_Tables_number 1
_cell_length_a 3.3234
_cell_length_b 5.5116
_cell_length_c 4.7212
_cell_angle_alpha 90.00
_cell_angle_beta 90.00
_cell_angle_gamma 90.00
loop_
_symmetry_equiv_pos_as_xyz
'x,y,z'
loop_
_atom_site_label
_atom_site_fract_x
_atom_site_fract_y
_atom_site_fract_z
Br1 0.0000 0.5000 0.5000
Zr1 0.0000 0.0000 0.0000
Zr2 0.5000 0.5000 0.0000
Al1 0.5000 0.0000 0.5000
# **Total magnetic moment**: 0.00 μB/f.u.
# **Final energy**: -5.700 eV per atom
# **Raw formation energy**: -72 meV per atom


Entry 2:
# LaMnCo2 PBE optimized geometry
data_LaMnCo2
_chemical_formula_sum 'La2 Mn2 Co4'
_symmetry_space_group_name_H-M 'P 1'
_symmetry_Int_Tables_number 1
_cell_length_a 4.5289
_cell_length_b 4.5289
_cell_length_c 8.5655
_cell_angle_alpha 74.67
_cell_angle_beta 74.67
_cell_angle_gamma 90.00
loop_
_symmetry_equiv_pos_as_xyz
'x,y,z'
loop_
_atom_site_label
_atom_site_fract_x
_atom_site_fract_y
_atom_site_fract_z
Mn1 0.5000 0.5000 0.0000
Mn2 0.2500 0.7500 0.5000
Co1 0.3753 0.1250 0.2500
Co2 0.3747 0.6250 0.2500
Co3 0.3750 0.6247 0.7500
Co4 0.8750 0.6253 0.7500
La1 0.0000 0.0000 0.0000
La2 0.7500 0.2500 0.5000
# **Total magnetic moment**: 4.77 μB/f.u.
# **Formation energy**: 318 meV per atom
# **Final energy**: -6.760 eV per atom


Entry 3:
# CaZr3H PBE optimized geometry
data_CaZr3H
_chemical_formula_sum 'Ca1 Zr3 H1'
_symmetry_space_group_name_H-M 'P 1'
_symmetry_Int_Tables_number 1
_cell_length_a 5.1678
_cell_length_b 5.1678
_cell_length_c 5.1678
_cell_angle_alpha 90.00
_cell_angle_beta 90.00
_cell_angle_gamma 90.00
loop_
_symmetry_equiv_pos_as_xyz
'x,y,z'
loop_
_atom_site_label
_atom_site_fract_x
_atom_site_fract_y
_atom_site_fract_z
H1 0.5000 0.5000 0.5000
Ca1 0.0000 0.0000 0.0000
Zr1 0.0000 0.5000 0.0000
Zr2 0.0000 0.0000 0.5000
Zr3 0.5000 0.0000 0.0000
# **Total magnetic moment**: 2.15 μB/f.u.
# **Final energy**: -3.952 eV per atom


Entry 4:
# Zn2AsAuBr PBE optimized geometry
data_Zn2AsAuBr
_chemical_formula_sum 'Zn2 As1 Au1 Br1'
_symmetry_space_group_name_H-M 'P 1'
_symmetry_Int_Tables_number 1
_cell_length_a 4.9891
_cell_length_b 5.1385
_cell_length_c 4.9891
_cell_angle_alpha 90.00
_cell_angle_beta 90.00
_cell_angle_gamma 90.00
loop_
_symmetry_equiv_pos_as_xyz
'x,y,z'
loop_
_atom_site_label
_atom_site_fract_x
_atom_site_fract_y
_atom_site_fract_z
As1 0.5000 0.5000 0.5000
Au1 0.0000 0.5000 0.0000
Zn1 0.0000 0.0000 0.5000
Zn2 0.5000 0.0000 0.0000
Br1 0.0000 0.0000 0.0000
# **Total magnetic moment**: 0.00 μB/f.u.
# **Final energy**: -1.542 eV per atom
# **Raw formation energy**: 888 meV per atom


Entry 5:
# PuSc2Br6 PBE optimized geometry
data_PuSc2Br6
_chemical_formula_sum 'Pu1 Sc2 Br6'
_symmetry_space_group_name_H-M 'P 1'
_symmetry_Int_Tables_number 1
_cell_length_a 3.8259
_cell_length_b 8.0645
_cell_length_c 10.5281
_cell_angle_alpha 115.39
_cell_angle_beta 90.00
_cell_angle_gamma 103.72
loop_
_symmetry_equiv_pos_as_xyz
'x,y,z'
loop_
_atom_site_label
_atom_site_fract_x
_atom_site_fract_y
_atom_site_fract_z
Pu1 0.0000 0.0000 0.5000
Sc1 0.6534 0.3069 0.8097
Sc2 0.3466 0.6931 0.1903
Br1 0.2958 0.5916 0.8935
Br2 0.7042 0.4084 0.1065
Br3 0.9756 0.9511 0.2025
Br4 0.6574 0.3148 0.5565
Br5 0.0244 0.0489 0.7975
Br6 0.3426 0.6852 0.4435
# **Total magnetic moment**: 8.02 μB/f.u.
# **Final energy**: -5.616 eV per atom
# **Raw formation energy**: -1501 meV per atom